This record from Alexandria describes crystalline BTeWO2 at its relaxed geometry. The functional is GGA+U.

Results
Calculated total energy = -23.065 eV/cell
Magnetization = 2.46 μB per formula unit

The structure in CIF format:
```
data_BTeWO2
_space_group_name_H-M_alt 'P 4/m m m'
_space_group_IT_number 123
_space_group_name_Hall '-P 4 2'
_cell_length_a 3.8234
_cell_length_b 3.8234
_cell_length_c 5.8343
_cell_angle_alpha 90.00
_cell_angle_beta 90.00
_cell_angle_gamma 90.00
loop_
_atom_site_label
_atom_site_type_symbol
_atom_site_fract_x
_atom_site_fract_y
_atom_site_fract_z
_atom_site_occupancy
B1 B 0.0000 0.0000 0.0000 1
Te1 Te 0.5000 0.5000 0.5000 1
W1 W 0.5000 0.5000 0.0000 1
O1 O 0.0000 0.5000 0.5000 1
```